(1)
# HfAsPd

HfAsPd after structural relaxation (PBE-GGA, Alexandria).

Lattice parameters (Å, degrees): 3.583 3.583 8.469 90.00 90.00 90.00
Element x y z (fractional)
Hf: 0.250 0.250 0.240
Hf: 0.750 0.750 0.760
As: 0.250 0.250 0.883
As: 0.750 0.750 0.117
Pd: 0.250 0.250 0.572
Pd: 0.750 0.750 0.428

Computed properties:
Formation enthalpy at 0 K: -0.73 eV/atom

=====

(2)
# Pm2PaAl

Pm2PaAl after structural relaxation (PBE-GGA, Alexandria).

Lattice parameters (Å, degrees): 3.442 3.442 9.192 90.00 90.00 90.00
Element x y z (fractional)
Pm: 0.000 0.000 0.227
Pm: 0.000 0.000 0.773
Pa: 0.500 0.500 0.500
Al: 0.500 0.500 0.000

Computed properties:
Formation enthalpy at 0 K: 0.00 eV/atom

=====

(3)
# TlNiIrBr6

TlNiIrBr6 after structural relaxation (PBE-GGA, Alexandria).

Lattice parameters (Å, degrees): 6.599 6.599 7.485 90.00 90.00 120.00
Element x y z (fractional)
Tl: 0.000 0.000 0.000
Ni: 0.333 0.667 0.500
Ir: 0.667 0.333 0.500
Br: 0.368 0.005 0.689
Br: 0.368 0.362 0.311
Br: 0.638 0.005 0.311
Br: 0.638 0.632 0.689
Br: 0.995 0.362 0.689
Br: 0.995 0.632 0.311

Computed properties:
Formation energy from raw total energies: -0.39 eV/atom

=====

(4)
# PaNi4Ag

PaNi4Ag after structural relaxation (PBE-GGA, Alexandria).

Lattice parameters (Å, degrees): 4.941 4.941 4.941 60.00 60.00 60.00
Element x y z (fractional)
Pa: 0.000 0.000 0.000
Ni: 0.127 0.624 0.624
Ni: 0.624 0.127 0.624
Ni: 0.624 0.624 0.127
Ni: 0.624 0.624 0.624
Ag: 0.250 0.250 0.250

Computed properties:
Formation enthalpy at 0 K: -0.36 eV/atom

=====

(5)
# Tb2ScSi2

Tb2ScSi2 after structural relaxation (PBE-GGA, Alexandria).

Lattice parameters (Å, degrees): 6.280 6.280 10.308 115.80 115.80 39.31
Element x y z (fractional)
Tb: 0.015 0.015 0.187
Tb: 0.182 0.182 0.596
Tb: 0.818 0.818 0.404
Tb: 0.985 0.985 0.813
Sc: 0.274 0.274 0.129
Sc: 0.726 0.726 0.871
Si: 0.383 0.383 0.941
Si: 0.490 0.490 0.611
Si: 0.510 0.510 0.389
Si: 0.617 0.617 0.059

Computed properties:
Formation energy from raw total energies: -0.71 eV/atom

=====

(6)
# Na3YN

Na3YN after structural relaxation (PBE-GGA, Alexandria).

Lattice parameters (Å, degrees): 6.428 6.428 6.428 90.00 90.00 90.00
Element x y z (fractional)
Na: 0.000 0.000 0.500
Na: 0.000 0.500 0.000
Na: 0.500 0.000 0.000
Y: 0.000 0.000 0.000
N: 0.500 0.500 0.500

Computed properties:
Formation energy from raw total energies: 2.10 eV/atom

=====

(7)
# MgSiRu2

MgSiRu2 after structural relaxation (PBE-GGA, Alexandria).

Lattice parameters (Å, degrees): 2.840 2.840 8.015 90.00 90.00 114.54
Element x y z (fractional)
Mg: 0.000 0.000 0.000
Si: 0.000 0.000 0.500
Ru: 0.500 0.500 0.279
Ru: 0.500 0.500 0.721

Computed properties:
Formation energy from raw total energies: -0.13 eV/atom

=====

(8)
# MnFe3Pt4

MnFe3Pt4 after structural relaxation (PBE-GGA, Alexandria).

Lattice parameters (Å, degrees): 8.890 5.494 4.666 90.00 90.00 90.00
Element x y z (fractional)
Mn: 0.000 0.000 0.000
Mn: 0.500 0.000 0.000
Fe: 0.000 0.500 0.000
Fe: 0.250 0.000 0.362
Fe: 0.250 0.500 0.351
Fe: 0.500 0.500 0.000
Fe: 0.750 0.000 0.638
Fe: 0.750 0.500 0.649
Pt: 0.000 0.251 0.500
Pt: 0.000 0.749 0.500
Pt: 0.250 0.251 0.865
Pt: 0.250 0.749 0.865
Pt: 0.500 0.251 0.500
Pt: 0.500 0.749 0.500
Pt: 0.750 0.251 0.135
Pt: 0.750 0.749 0.135

Computed properties:
Formation enthalpy at 0 K: -0.24 eV/atom

=====

(9)
# Cs2VCoCl6

Cs2VCoCl6 after structural relaxation (PBE-GGA, Alexandria).

Lattice parameters (Å, degrees): 7.110 7.110 7.110 119.91 119.91 90.15
Element x y z (fractional)
Cs: 0.250 0.750 0.500
Cs: 0.750 0.250 0.500
V: 0.000 0.000 0.000
Co: 0.500 0.500 0.000
Cl: 0.247 0.247 0.495
Cl: 0.247 0.753 0.000
Cl: 0.249 0.249 0.000
Cl: 0.751 0.751 0.000
Cl: 0.753 0.247 0.000
Cl: 0.753 0.753 0.505

Computed properties:
Formation energy from raw total energies: -1.28 eV/atom

=====

(10)
# TmZrAgSe4

TmZrAgSe4 after structural relaxation (PBE-GGA, Alexandria).

Lattice parameters (Å, degrees): 8.119 8.119 8.119 121.05 119.18 89.81
Element x y z (fractional)
Tm: 0.000 0.000 0.000
Tm: 0.500 0.000 0.500
Zr: 0.500 0.000 0.000
Zr: 0.500 0.500 0.500
Ag: 0.124 0.374 0.750
Ag: 0.876 0.626 0.250
Se: 0.265 0.255 0.490
Se: 0.265 0.775 0.010
Se: 0.269 0.247 0.022
Se: 0.274 0.753 0.522
Se: 0.726 0.247 0.478
Se: 0.731 0.753 0.978
Se: 0.735 0.225 0.990
Se: 0.735 0.745 0.510

Computed properties:
Formation energy from raw total energies: -1.26 eV/atom

=====

(11)
# MgGa2CuPd2

MgGa2CuPd2 after structural relaxation (PBE-GGA, Alexandria).

Lattice parameters (Å, degrees): 4.406 4.406 5.379 90.00 90.00 120.00
Element x y z (fractional)
Mg: 0.000 0.000 0.000
Ga: 0.333 0.667 0.693
Ga: 0.667 0.333 0.307
Cu: 0.000 0.000 0.500
Pd: 0.333 0.667 0.208
Pd: 0.667 0.333 0.792

Computed properties:
Formation enthalpy at 0 K: -0.50 eV/atom

=====

Respective E_tot values: -7.33; -5.68; -3.40; -6.27; -5.99; -1.65; -6.52; -7.58; -4.18; -5.51; -4.19 eV/atom.
Respective density values: 11.0; 8.4; 5.5; 11.2; 6.1; 1.1; 7.2; 14.6; 3.8; 6.0; 8.1 Mg/m³.